The following is a DFT calculation (GGA+U) of a relaxed structure of CaAl2MoO6.

Properties
electronic total energy = -0.265 Ha/atom
symmetry = C2/c
total magnetization = 2.00 μB per formula unit
V = 13.55 Å³ per atom

a = 5.905 Å, b = 7.095 Å, c = 7.095 Å
α = 82.06°, β = 72.83°, γ = 72.83°
Each line ends with the local moment (μB).
Element x y z (fractional)
Ca 0.250 0.901 0.099  0.00
Ca 0.750 0.099 0.901  0.00
Al 0.345 0.778 0.625  0.01
Al 0.155 0.375 0.222  0.01
Al 0.655 0.222 0.375  0.01
Al 0.845 0.625 0.778  0.01
Mo 0.250 0.270 0.730  1.87
Mo 0.750 0.730 0.270  1.87
O 0.193 0.985 0.773  0.01
O 0.307 0.227 0.015  0.01
O 0.807 0.015 0.227  0.01
O 0.693 0.773 0.985  0.01
O 0.384 0.831 0.370  0.00
O 0.116 0.630 0.169  0.00
O 0.616 0.169 0.630  0.00
O 0.884 0.370 0.831  0.00
O 0.175 0.598 0.707  0.01
O 0.325 0.293 0.402  0.01
O 0.825 0.402 0.293  0.01
O 0.675 0.707 0.598  0.01